The following is a DFT calculation (GGA-PBE) of a relaxed GaMoBr2Cl crystal.

Cell and atoms, written as POSCAR:
```
GaMoBr2Cl
1.0
5.4363 0.0000 0.0000
0.0000 5.4363 0.0000
0.0000 0.0000 5.0492
Ga Mo Br Cl
1 1 2 1
Cartesian
0.0000 0.0000 0.0000 Ga
2.7181 2.7181 2.5246 Mo
0.0000 2.7181 2.5246 Br
2.7181 0.0000 2.5246 Br
2.7181 2.7181 0.0000 Cl
```

ρ = 4.0 g/cm³
calculated total energy = -0.147 hartree per atom
magnetic moment = 4.00 Bohr magnetons per cell